Entry from Alexandria via LeMat-Bulk: crystalline GePb at its relaxed geometry (PBE).

```
GePb
1.0
7.919 0.000 0.000
0.000 7.919 0.000
0.000 0.000 7.919
Ge Pb
6 6
direct
0.000 0.250 0.500
0.000 0.750 0.500
0.250 0.500 0.000
0.500 0.000 0.250
0.500 0.000 0.750
0.750 0.500 0.000
0.000 0.500 0.250
0.000 0.500 0.750
0.250 0.000 0.500
0.500 0.250 0.000
0.500 0.750 0.000
0.750 0.000 0.500
```

Properties
DOS at the Fermi energy, states/eV/cell: 3.55
DFT total energy, eV per atom: -3.7656
Magnetic moment, μB/f.u.: 0.00

=====

Entry from Alexandria via LeMat-Bulk: crystalline K5Li2PrF10 at its relaxed geometry (PBE).

```
K5Li2PrF10
1.0
20.934 0.000 0.000
0.000 7.874 0.000
0.000 0.000 7.033
K Li Pr F
20 8 4 40
direct
0.043 0.021 0.248
0.043 0.479 0.248
0.140 0.750 0.558
0.218 0.527 0.065
0.218 0.973 0.065
0.282 0.027 0.565
0.282 0.473 0.565
0.360 0.250 0.058
0.457 0.521 0.748
0.457 0.979 0.748
0.543 0.021 0.252
0.543 0.479 0.252
0.640 0.750 0.942
0.718 0.527 0.435
0.718 0.973 0.435
0.782 0.027 0.935
0.782 0.473 0.935
0.860 0.250 0.442
0.957 0.521 0.752
0.957 0.979 0.752
0.078 0.750 0.964
0.173 0.250 0.336
0.327 0.750 0.836
0.422 0.250 0.464
0.578 0.750 0.536
0.673 0.250 0.164
0.827 0.750 0.664
0.922 0.250 0.036
0.107 0.250 0.754
0.393 0.750 0.254
0.607 0.250 0.746
0.893 0.750 0.246
0.008 0.250 0.952
0.018 0.250 0.540
0.089 0.542 0.837
0.089 0.958 0.837
0.126 0.750 0.183
0.131 0.250 0.100
0.147 0.074 0.491
0.147 0.426 0.491
0.219 0.250 0.802
0.241 0.750 0.784
0.259 0.250 0.284
0.281 0.750 0.302
0.353 0.574 0.991
0.353 0.926 0.991
0.369 0.750 0.600
0.374 0.250 0.683
0.411 0.042 0.337
0.411 0.458 0.337
0.482 0.750 0.040
0.492 0.750 0.452
0.508 0.250 0.548
0.518 0.250 0.960
0.589 0.542 0.663
0.589 0.958 0.663
0.626 0.750 0.317
0.631 0.250 0.400
0.647 0.074 0.009
0.647 0.426 0.009
0.719 0.250 0.698
0.741 0.750 0.716
0.759 0.250 0.216
0.781 0.750 0.198
0.853 0.574 0.509
0.853 0.926 0.509
0.869 0.750 0.900
0.874 0.250 0.817
0.911 0.042 0.163
0.911 0.458 0.163
0.982 0.750 0.460
0.992 0.750 0.048
```

Properties
DOS at the Fermi energy, states/eV/cell: 0.00
Raw formation energy, meV/atom: -3103
Magnetic moment, μB/f.u.: 0.31

=====

Entry from Alexandria via LeMat-Bulk: crystalline NaSrTcO4 at its relaxed geometry (PBE).

```
NaSrTcO4
1.0
6.111 0.000 0.000
0.000 6.725 0.000
-2.912 0.000 6.099
Na Sr Tc O
2 2 2 8
direct
0.180 0.250 0.028
0.820 0.750 0.972
0.170 0.750 0.518
0.830 0.250 0.482
0.436 0.250 0.692
0.564 0.750 0.308
0.237 0.055 0.732
0.237 0.445 0.732
0.237 0.750 0.160
0.375 0.250 0.402
0.625 0.750 0.598
0.763 0.250 0.840
0.763 0.555 0.268
0.763 0.945 0.268
```

Properties
Raw formation energy, meV/atom: -1817
Magnetic moment, μB/f.u.: 2.00